# 1
PrScTcGe2 | Alexandria | PBE | optimized geometry; D(E_F) = 3.02 states/eV per cell; formation energy = -3.21 eV per formula unit; spin magnetization = 0.13 μB/f.u.; space group = I-4m2, No. 119
1.0
4.113 0.000 0.000
0.000 4.113 0.000
-2.056 -2.056 5.987
Pr Sc Ge Tc
1 1 2 1
Direct
0.000 0.000 0.000 Pr
0.750 0.250 0.500 Sc
0.393 0.393 0.786 Ge
0.607 0.607 0.214 Ge
0.250 0.750 0.500 Tc


# 2
GdAlZn | Alexandria | PBE | optimized geometry; D(E_F) = 1.58 states/eV per cell; formation energy = -0.77 eV per formula unit; spin magnetization = 7.40 μB/f.u.; space group = I4mm, No. 107
1.0
3.323 0.000 0.000
0.000 3.323 0.000
-1.662 -1.662 5.645
Gd Al Zn
1 1 1
Direct
0.948 0.948 0.895 Gd
0.640 0.640 0.279 Al
0.263 0.263 0.526 Zn


# 3
HoPaHgRu | Alexandria | PBE | optimized geometry; D(E_F) = 5.07 states/eV per cell; formation energy = -0.49 eV per formula unit; spin magnetization = 0.60 μB/f.u.; space group = F-43m, No. 216
1.0
5.038 0.000 0.000
2.519 4.363 0.000
2.519 1.454 4.113
Hg Ho Ru Pa
1 1 1 1
Direct
0.250 0.250 0.250 Hg
0.500 0.500 0.500 Ho
0.750 0.750 0.750 Ru
0.000 0.000 0.000 Pa


# 4
Na3Al5Cl12 | Alexandria | PBE | optimized geometry; formation energy without anion corrections = -22.37 eV per formula unit; D(E_F) = 23.25 states/eV per cell; spin magnetization = 0.98 μB/f.u.; space group = Ia-3d, No. 230
1.0
14.832 0.000 0.000
-4.944 13.984 0.000
-4.944 -6.992 12.110
Cl Al Na
48 20 12
Direct
0.623 0.014 0.229 Cl
0.486 0.715 0.110 Cl
0.395 0.271 0.285 Cl
0.377 0.986 0.771 Cl
0.771 0.486 0.377 Cl
0.986 0.610 0.215 Cl
0.771 0.285 0.895 Cl
0.890 0.785 0.514 Cl
0.514 0.285 0.890 Cl
0.729 0.123 0.014 Cl
0.014 0.623 0.729 Cl
0.285 0.771 0.395 Cl
0.395 0.123 0.610 Cl
0.215 0.110 0.986 Cl
0.514 0.229 0.123 Cl
0.271 0.877 0.986 Cl
0.877 0.605 0.890 Cl
0.877 0.271 0.486 Cl
0.123 0.729 0.514 Cl
0.605 0.877 0.390 Cl
0.610 0.623 0.395 Cl
0.215 0.105 0.729 Cl
0.285 0.514 0.390 Cl
0.110 0.215 0.486 Cl
0.105 0.215 0.229 Cl
0.785 0.890 0.014 Cl
0.623 0.610 0.895 Cl
0.377 0.390 0.105 Cl
0.715 0.229 0.605 Cl
0.229 0.514 0.623 Cl
0.610 0.986 0.715 Cl
0.390 0.377 0.605 Cl
0.390 0.014 0.285 Cl
0.715 0.486 0.610 Cl
0.890 0.105 0.877 Cl
0.729 0.605 0.215 Cl
0.229 0.715 0.105 Cl
0.486 0.771 0.877 Cl
0.785 0.895 0.271 Cl
0.895 0.785 0.771 Cl
0.271 0.395 0.785 Cl
0.123 0.395 0.110 Cl
0.014 0.390 0.785 Cl
0.605 0.729 0.715 Cl
0.105 0.890 0.377 Cl
0.986 0.377 0.271 Cl
0.110 0.895 0.123 Cl
0.895 0.110 0.623 Cl
0.000 0.000 0.500 Al
0.250 0.875 0.125 Al
0.375 0.125 0.750 Al
0.625 0.875 0.250 Al
0.625 0.750 0.875 Al
0.000 0.000 0.000 Al
0.500 0.500 0.000 Al
0.000 0.500 0.500 Al
0.250 0.375 0.625 Al
0.000 0.500 0.000 Al
0.500 0.000 0.000 Al
0.125 0.750 0.375 Al
0.500 0.500 0.500 Al
0.750 0.125 0.875 Al
0.375 0.250 0.125 Al
0.875 0.250 0.625 Al
0.125 0.375 0.250 Al
0.875 0.625 0.750 Al
0.750 0.625 0.375 Al
0.500 0.000 0.500 Al
0.625 0.250 0.375 Na
0.375 0.750 0.625 Na
0.750 0.875 0.625 Na
0.250 0.625 0.875 Na
0.625 0.375 0.750 Na
0.750 0.375 0.125 Na
0.375 0.625 0.250 Na
0.125 0.250 0.875 Na
0.875 0.125 0.250 Na
0.875 0.750 0.125 Na
0.125 0.875 0.750 Na
0.250 0.125 0.375 Na


no.,energy (eV/cell)
1,-33.92
2,-19.87
3,-24.14
4,-268.81